(1)
# Ir2WBr PBE optimized geometry
# volume: 69 Å³/cell
# relative energy among the computed polymorphs: 0 meV per atom
# uncorrected formation energy: 0.252 eV/atom
# density: 15662 kg/m3
data_Ir2WBr
_symmetry_space_group_name_H-M 'P m m m'
_symmetry_Int_Tables_number 47
_cell_length_a 2.8732
_cell_length_b 2.8759
_cell_length_c 8.3166
_cell_angle_alpha 90.00
_cell_angle_beta 90.00
_cell_angle_gamma 90.00
loop_
_symmetry_equiv_pos_as_xyz
'x,y,z'
'-x,-y,-z'
'-x,-y,z'
'x,y,-z'
'x,-y,-z'
'-x,y,z'
'-x,y,-z'
'x,-y,z'
loop_
_atom_site_label
_atom_site_type_symbol
_atom_site_fract_x
_atom_site_fract_y
_atom_site_fract_z
_atom_site_occupancy
Ir1 Ir 0.0000 0.0000 0.2163 1
W1 W 0.5000 0.5000 0.0000 1
Br1 Br 0.0000 0.5000 0.5000 1

---

(2)
# KBPb PBE optimized geometry
# calculated formation energy: 52.8 kJ per mole of atoms
# volume: 161 Å³/cell
# relative energy among the computed polymorphs: 409 meV per atom
# density: 5308 kg/m3
data_KBPb
_symmetry_space_group_name_H-M 'P 63/m m c'
_symmetry_Int_Tables_number 194
_symmetry_space_group_name_Hall '-P 6c 2c'
_cell_length_a 4.0802
_cell_length_b 4.0802
_cell_length_c 11.1586
_cell_angle_alpha 90.00
_cell_angle_beta 90.00
_cell_angle_gamma 120.00
loop_
_atom_site_label
_atom_site_type_symbol
_atom_site_fract_x
_atom_site_fract_y
_atom_site_fract_z
_atom_site_occupancy
K1 K 0.0000 0.0000 0.0000 1
B1 B 0.3333 0.6667 0.2500 1
Pb1 Pb 0.3333 0.6667 0.7500 1

---

(3)
# TlSbTe2As PBE optimized geometry
# volume: 185 Å³/cell
# relative energy among the computed polymorphs: 763 meV per atom
# uncorrected formation energy: 1.058 eV/atom
# density: 5904 kg/m3
data_TlSbTe2As
_symmetry_space_group_name_H-M 'P 4/m m m'
_symmetry_Int_Tables_number 123
_symmetry_space_group_name_Hall '-P 4 2'
_cell_length_a 5.6757
_cell_length_b 5.6757
_cell_length_c 5.7297
_cell_angle_alpha 90.00
_cell_angle_beta 90.00
_cell_angle_gamma 90.00
loop_
_atom_site_label
_atom_site_type_symbol
_atom_site_fract_x
_atom_site_fract_y
_atom_site_fract_z
_atom_site_occupancy
Tl1 Tl 0.0000 0.0000 0.0000 1
Sb1 Sb 0.0000 0.0000 0.5000 1
Te1 Te 0.0000 0.5000 0.0000 1
As1 As 0.5000 0.5000 0.5000 1

---

(4)
# LiMn3Cr PBE optimized geometry
# calculated formation energy: 135.2 kJ per mole of atoms
# volume: 68 Å³/cell
# relative energy among the computed polymorphs: 514 meV per atom
# density: 5473 kg/m3
data_LiMn3Cr
_symmetry_space_group_name_H-M 'P m -3 m'
_symmetry_Int_Tables_number 221
_symmetry_space_group_name_Hall '-P 4 2 3'
_cell_length_a 4.0794
_cell_length_b 4.0794
_cell_length_c 4.0794
_cell_angle_alpha 90.00
_cell_angle_beta 90.00
_cell_angle_gamma 90.00
loop_
_atom_site_label
_atom_site_type_symbol
_atom_site_fract_x
_atom_site_fract_y
_atom_site_fract_z
_atom_site_occupancy
Li1 Li 0.0000 0.0000 0.0000 1
Mn1 Mn 0.0000 0.0000 0.5000 1
Cr1 Cr 0.5000 0.5000 0.5000 1

---

(5)
# NaVSe4 PBE optimized geometry
# volume: 280 Å³/cell
# uncorrected formation energy: -0.554 eV/atom
# density: 4615 kg/m3
data_NaVSe4
_symmetry_space_group_name_H-M 'P -1'
_symmetry_Int_Tables_number 2
_cell_length_a 6.4937
_cell_length_b 6.5806
_cell_length_c 8.0639
_cell_angle_alpha 103.53
_cell_angle_beta 97.66
_cell_angle_gamma 118.98
loop_
_symmetry_equiv_pos_as_xyz
'x,y,z'
'-x,-y,-z'
loop_
_atom_site_label
_atom_site_type_symbol
_atom_site_fract_x
_atom_site_fract_y
_atom_site_fract_z
_atom_site_occupancy
Na1 Na 0.1586 0.3057 0.4641 1
V1 V 0.2903 0.5003 0.0000 1
Se1 Se 0.0907 0.5990 0.2495 1
Se2 Se 0.1620 0.8311 0.9801 1
Se3 Se 0.2996 0.1647 0.7827 1
Se4 Se 0.4437 0.3191 0.1996 1

---

(6)
# Sm3AlZn2Pd9 PBE optimized geometry
# calculated formation energy: -41.9 kJ per mole of atoms
# volume: 305 Å³/cell
# density: 8520 kg/m3
data_Sm3AlZn2Pd9
_symmetry_space_group_name_H-M 'P -3 m 1'
_symmetry_Int_Tables_number 164
_symmetry_space_group_name_Hall '-P 3 2"'
_cell_length_a 7.2422
_cell_length_b 7.2422
_cell_length_c 6.7222
_cell_angle_alpha 90.00
_cell_angle_beta 90.00
_cell_angle_gamma 120.00
loop_
_atom_site_label
_atom_site_type_symbol
_atom_site_fract_x
_atom_site_fract_y
_atom_site_fract_z
_atom_site_occupancy
Sm1 Sm 0.0000 0.0000 0.0000 1
Sm2 Sm 0.3333 0.6667 0.6701 1
Al1 Al 0.0000 0.0000 0.5000 1
Zn1 Zn 0.3333 0.6667 0.1715 1
Pd1 Pd 0.0000 0.5000 0.0000 1
Pd2 Pd 0.1632 0.3263 0.3324 1

---

(7)
# CeMg2Ga4 PBE optimized geometry
# calculated formation energy: -32.7 kJ per mole of atoms
# volume: 298 Å³/cell
# density: 5207 kg/m3
data_CeMg2Ga4
_symmetry_space_group_name_H-M 'I m m m'
_symmetry_Int_Tables_number 71
_symmetry_space_group_name_Hall '-I 2 2'
_cell_length_a 4.1864
_cell_length_b 4.1963
_cell_length_c 16.9764
_cell_angle_alpha 90.00
_cell_angle_beta 90.00
_cell_angle_gamma 90.00
loop_
_atom_site_label
_atom_site_type_symbol
_atom_site_fract_x
_atom_site_fract_y
_atom_site_fract_z
_atom_site_occupancy
Ce1 Ce 0.0000 0.0000 0.0000 1
Mg1 Mg 0.0000 0.5000 0.3144 1
Ga1 Ga 0.0000 0.0000 0.4276 1
Ga2 Ga 0.0000 0.5000 0.1536 1

---

(8)
# ZrCdF PBE optimized geometry
# volume: 116 Å³/cell
# uncorrected formation energy: -1.373 eV/atom
# density: 6394 kg/m3
data_ZrCdF
_symmetry_space_group_name_H-M 'P -6 m 2'
_symmetry_Int_Tables_number 187
_symmetry_space_group_name_Hall 'P -6 2'
_cell_length_a 3.0879
_cell_length_b 3.0879
_cell_length_c 14.0042
_cell_angle_alpha 90.00
_cell_angle_beta 90.00
_cell_angle_gamma 120.00
loop_
_atom_site_label
_atom_site_type_symbol
_atom_site_fract_x
_atom_site_fract_y
_atom_site_fract_z
_atom_site_occupancy
Zr1 Zr 0.0000 0.0000 0.1874 1
Cd1 Cd 0.3333 0.6667 0.0000 1
Cd2 Cd 0.3333 0.6667 0.5000 1
F1 F 0.3333 0.6667 0.2950 1

---

- Among the records above, which one has the lowest density?
  NaVSe4

---

Please write out number 4 again, unchanged.
# LiMn3Cr PBE optimized geometry
# calculated formation energy: 135.2 kJ per mole of atoms
# volume: 68 Å³/cell
# relative energy among the computed polymorphs: 514 meV per atom
# density: 5473 kg/m3
data_LiMn3Cr
_symmetry_space_group_name_H-M 'P m -3 m'
_symmetry_Int_Tables_number 221
_symmetry_space_group_name_Hall '-P 4 2 3'
_cell_length_a 4.0794
_cell_length_b 4.0794
_cell_length_c 4.0794
_cell_angle_alpha 90.00
_cell_angle_beta 90.00
_cell_angle_gamma 90.00
loop_
_atom_site_label
_atom_site_type_symbol
_atom_site_fract_x
_atom_site_fract_y
_atom_site_fract_z
_atom_site_occupancy
Li1 Li 0.0000 0.0000 0.0000 1
Mn1 Mn 0.0000 0.0000 0.5000 1
Cr1 Cr 0.5000 0.5000 0.5000 1